No. 1
Material: Ac4Hg2IrRh
Method: DFT, PBE
State: relaxed

Properties
Total magnetic moment (μB per atom): 0.00
Crystal system: monoclinic
Symmetry: No. 10
Density of states at the Fermi level (states/eV/f.u.): 6.18
ΔE_f (eV/f.u.): -4.91
Raw total energy (eV for the cell shown): -38.16

Cell lengths 4.3343, 7.4935, 8.6034 Å; angles 106.93, 90.00, 90.00 degrees
Positions (direct):
Ac  0.5000  0.2316  0.2001
Ac  0.5000  0.7684  0.7999
Ac  0.0000  0.2655  0.7996
Ac  0.0000  0.7345  0.2004
Hg  0.5000  0.0000  0.5000
Hg  0.0000  0.5000  0.5000
Ir  0.0000  0.0000  0.0000
Rh  0.5000  0.5000  0.0000

=====

No. 2
Material: Li2AcMg2Pb2
Method: DFT, PBE
State: relaxed

Properties
Total magnetic moment (μB per atom): 0.00
Crystal system: trigonal
Symmetry: No. 166
Density of states at the Fermi level (states/eV/f.u.): 2.04
ΔE_f (eV/f.u.): -2.46
Raw total energy (eV for the cell shown): -21.00

Cell lengths 4.8370, 4.8370, 9.2714 Å; angles 74.88, 74.88, 60.00 degrees
Positions (direct):
Li  0.5674  0.5674  0.2978
Li  0.4326  0.4326  0.7022
Ac  0.0000  0.0000  0.0000
Mg  0.1379  0.1379  0.5864
Mg  0.8621  0.8621  0.4136
Pb  0.7467  0.7467  0.7600
Pb  0.2533  0.2533  0.2400

=====

No. 3
Material: SrAs2IrBr
Method: DFT, PBE
State: relaxed

Properties
Total magnetic moment (μB per atom): 0.84
Formation energy from raw total energies (eV/f.u.): 7.29
Crystal system: tetragonal
Symmetry: No. 123
Density of states at the Fermi level (states/eV/f.u.): 5.42
Energy above the most stable polymorph in this dataset (meV per atom): 1757
Raw total energy (eV for the cell shown): -14.23

Cell lengths 5.8441, 5.8441, 5.5861 Å; angles 90.00, 90.00, 90.00 degrees
Site moments in Bohr magnetons follow the coordinates.
Positions (direct):
Sr  0.0000  0.0000  0.0000  0.03
As  0.0000  0.5000  0.0000  0.36
As  0.5000  0.0000  0.0000  0.36
Ir  0.5000  0.5000  0.5000  2.17
Br  0.0000  0.0000  0.5000  0.13

=====

No. 4
Material: PmGe2Sb2Pt7
Method: DFT, PBE
State: relaxed

Properties
Total magnetic moment (μB per atom): 0.00
Formation energy from raw total energies (eV/f.u.): -6.80
Crystal system: tetragonal
Symmetry: No. 139
Density of states at the Fermi level (states/eV/f.u.): 5.09
Raw total energy (eV for the cell shown): -71.31

Cell lengths 3.9848, 3.9848, 15.8355 Å; angles 82.77, 82.77, 89.98 degrees
Positions (direct):
Pm  0.0000  0.0000  0.0000
Ge  0.6211  0.6211  0.7571
Ge  0.3789  0.3789  0.2429
Sb  0.7878  0.7878  0.4251
Sb  0.2122  0.2122  0.5749
Pt  0.5000  0.5000  0.0000
Pt  0.2990  0.2990  0.4014
Pt  0.7010  0.7010  0.5986
Pt  0.9271  0.4269  0.1460
Pt  0.4269  0.9271  0.1460
Pt  0.5731  0.0729  0.8540
Pt  0.0729  0.5731  0.8540

=====

total magnetic moment of number 3 (SrAs2IrBr)? 0.84 μB per atom